Here is crystalline ScTcTe at its relaxed geometry from Alexandria. Energies are from PBE.

## Properties
Polymorph energy (0 for the lowest one) = 45.4 meV per atom
Space-group type = No. 216
E = -20.468 eV for the cell shown

Unit cell a=4.487 b=4.487 c=4.487 alpha=60.00 beta=60.00 gamma=60.00
Positions (direct):
Sc1 0.000 0.000 0.000
Tc1 0.250 0.250 0.250
Te1 0.500 0.500 0.500